# 1
Entry from Alexandria: crystalline La2YCr at its relaxed geometry (PBE-GGA).

## Properties
The calculation puts the density at 5.7 g cm⁻³. The calculation puts the energy above the lowest structure with this stoichiometry at 28 meV per atom. The calculation puts the total moment at 3.152 μB/cell. Its total energy is -6.21 eV per atom. The value obtained for the formation enthalpy at 0 K is 0.27 eV/atom.

The structure in CIF format:
```
data_La2YCr
_cell_length_a 3.806
_cell_length_b 3.806
_cell_length_c 8.493
_cell_angle_alpha 90.00
_cell_angle_beta 90.00
_cell_angle_gamma 90.00
_symmetry_space_group_name_H-M 'P 4/m m m'
_symmetry_Int_Tables_number 123
_symmetry_space_group_name_Hall '-P 4 2'
loop_
_atom_site_label
_atom_site_type_symbol
_atom_site_fract_x
_atom_site_fract_y
_atom_site_fract_z
La1 La 0.000 0.000 0.212
Y1 Y 0.500 0.500 0.500
Cr1 Cr 0.500 0.500 0.000
```

***

# 2
Entry from Alexandria: crystalline LaY2Cr at its relaxed geometry (PBE-GGA).

## Properties
The calculation puts the density at 5.3 g cm⁻³. The calculation puts the energy above the lowest structure with this stoichiometry at 121 meV per atom. The calculation puts the total moment at 10.086 μB/cell. Its total energy is -6.53 eV per atom. The value obtained for the formation enthalpy at 0 K is 0.34 eV/atom.

The structure in CIF format:
```
data_LaY2Cr
_cell_length_a 7.716
_cell_length_b 7.716
_cell_length_c 7.716
_cell_angle_alpha 90.00
_cell_angle_beta 90.00
_cell_angle_gamma 90.00
_symmetry_space_group_name_H-M 'F -4 3 m'
_symmetry_Int_Tables_number 216
_symmetry_space_group_name_Hall 'F -4 2 3'
loop_
_atom_site_label
_atom_site_type_symbol
_atom_site_fract_x
_atom_site_fract_y
_atom_site_fract_z
La1 La 0.000 0.000 0.000
Y1 Y 0.000 0.000 0.500
Y2 Y 0.250 0.250 0.750
Cr1 Cr 0.250 0.250 0.250
```

***

# 3
Entry from Alexandria: crystalline LaY2Cr at its relaxed geometry (PBE-GGA).

## Properties
The calculation puts the density at 5.3 g cm⁻³. The calculation puts the energy above the lowest structure with this stoichiometry at 106 meV per atom. The calculation puts the total moment at 2.916 μB/cell. Its total energy is -6.54 eV per atom. The value obtained for the formation enthalpy at 0 K is 0.33 eV/atom.

The structure in CIF format:
```
data_LaY2Cr
_cell_length_a 4.777
_cell_length_b 4.777
_cell_length_c 5.098
_cell_angle_alpha 90.00
_cell_angle_beta 90.00
_cell_angle_gamma 90.00
_symmetry_space_group_name_H-M 'P 4/m m m'
_symmetry_Int_Tables_number 123
_symmetry_space_group_name_Hall '-P 4 2'
loop_
_atom_site_label
_atom_site_type_symbol
_atom_site_fract_x
_atom_site_fract_y
_atom_site_fract_z
La1 La 0.000 0.000 0.000
Y1 Y 0.000 0.500 0.500
Cr1 Cr 0.500 0.500 0.000
```

***

# 4
Entry from Alexandria: crystalline La2YCr at its relaxed geometry (PBE-GGA).

## Properties
The calculation puts the density at 6.4 g cm⁻³. The calculation puts the energy above the lowest structure with this stoichiometry at 382 meV per atom. The calculation puts the total moment at 0.001 μB/cell. Its total energy is -5.86 eV per atom. The value obtained for the formation enthalpy at 0 K is 0.63 eV/atom.

The structure in CIF format:
```
data_La2YCr
_cell_length_a 7.565
_cell_length_b 7.565
_cell_length_c 7.565
_cell_angle_alpha 90.00
_cell_angle_beta 90.00
_cell_angle_gamma 90.00
_symmetry_space_group_name_H-M 'F m -3 m'
_symmetry_Int_Tables_number 225
_symmetry_space_group_name_Hall '-F 4 2 3'
loop_
_atom_site_label
_atom_site_type_symbol
_atom_site_fract_x
_atom_site_fract_y
_atom_site_fract_z
La1 La 0.250 0.250 0.250
Y1 Y 0.000 0.000 0.000
Cr1 Cr 0.000 0.000 0.500
```

***

# 5
Entry from Alexandria: crystalline La2YCr at its relaxed geometry (PBE-GGA).

## Properties
The calculation puts the density at 5.8 g cm⁻³. The calculation puts the energy above the lowest structure with this stoichiometry at 118 meV per atom. The calculation puts the total moment at 6.102 μB/cell. Its total energy is -6.12 eV per atom. The value obtained for the formation enthalpy at 0 K is 0.36 eV/atom.

The structure in CIF format:
```
data_La2YCr
_cell_length_a 4.841
_cell_length_b 4.841
_cell_length_c 10.228
_cell_angle_alpha 90.00
_cell_angle_beta 90.00
_cell_angle_gamma 90.00
_symmetry_space_group_name_H-M 'I -4 m 2'
_symmetry_Int_Tables_number 119
_symmetry_space_group_name_Hall 'I -4 -2'
loop_
_atom_site_label
_atom_site_type_symbol
_atom_site_fract_x
_atom_site_fract_y
_atom_site_fract_z
La1 La 0.000 0.000 0.000
La2 La 0.000 0.500 0.250
Y1 Y 0.000 0.000 0.500
Cr1 Cr 0.000 0.500 0.750
```

***

# 6
Entry from Alexandria: crystalline La2YCr at its relaxed geometry (PBE-GGA).

## Properties
The calculation puts the density at 5.7 g cm⁻³. The calculation puts the energy above the lowest structure with this stoichiometry at 0 meV per atom. The calculation puts the total moment at 3.548 μB/cell. Its total energy is -6.24 eV per atom. The value obtained for the formation enthalpy at 0 K is 0.24 eV/atom.

The structure in CIF format:
```
data_La2YCr
_cell_length_a 3.681
_cell_length_b 3.681
_cell_length_c 8.971
_cell_angle_alpha 90.00
_cell_angle_beta 90.00
_cell_angle_gamma 90.00
_symmetry_space_group_name_H-M 'P 4 m m'
_symmetry_Int_Tables_number 99
loop_
_symmetry_equiv_pos_as_xyz
'x,y,z'
'-y,x,z'
'-x,-y,z'
'y,-x,z'
'-x,y,z'
'y,x,z'
'x,-y,z'
'-y,-x,z'
loop_
_atom_site_label
_atom_site_type_symbol
_atom_site_fract_x
_atom_site_fract_y
_atom_site_fract_z
La1 La 0.000 0.000 0.000
La2 La 0.500 0.500 0.306
Y1 Y 0.000 0.000 0.604
Cr1 Cr 0.500 0.500 0.793
```

***

# 7
Entry from Alexandria: crystalline LaY2Cr at its relaxed geometry (PBE-GGA).

## Properties
The calculation puts the density at 5.3 g cm⁻³. The calculation puts the energy above the lowest structure with this stoichiometry at 19 meV per atom. The calculation puts the total moment at 6.609 μB/cell. Its total energy is -6.63 eV per atom. The value obtained for the formation enthalpy at 0 K is 0.24 eV/atom.

The structure in CIF format:
```
data_LaY2Cr
_cell_length_a 12.469
_cell_length_b 3.763
_cell_length_c 5.478
_cell_angle_alpha 90.00
_cell_angle_beta 116.03
_cell_angle_gamma 90.00
_symmetry_space_group_name_H-M 'C 1 m 1'
_symmetry_Int_Tables_number 8
loop_
_symmetry_equiv_pos_as_xyz
'x,y,z'
'x,-y,z'
'x+1/2,y+1/2,z'
'x+1/2,-y+1/2,z'
loop_
_atom_site_label
_atom_site_type_symbol
_atom_site_fract_x
_atom_site_fract_y
_atom_site_fract_z
La1 La 0.000 0.000 0.000
Y1 Y 0.210 0.000 0.710
Y2 Y 0.423 0.000 0.423
Cr1 Cr 0.214 0.500 0.213
```

***

# 8
Entry from Alexandria: crystalline LaYCr at its relaxed geometry (PBE-GGA).

## Properties
The calculation puts the density at 5.5 g cm⁻³. The calculation puts the energy above the lowest structure with this stoichiometry at 0 meV per atom. The calculation puts the total moment at 5.805 μB/cell. Its total energy is -6.68 eV per atom. The value obtained for the formation enthalpy at 0 K is 0.33 eV/atom.

The structure in CIF format:
```
data_LaYCr
_cell_length_a 3.757
_cell_length_b 3.757
_cell_length_c 12.064
_cell_angle_alpha 90.00
_cell_angle_beta 90.00
_cell_angle_gamma 90.00
_symmetry_space_group_name_H-M 'I 4 m m'
_symmetry_Int_Tables_number 107
_symmetry_space_group_name_Hall 'I 4 -2'
loop_
_atom_site_label
_atom_site_type_symbol
_atom_site_fract_x
_atom_site_fract_y
_atom_site_fract_z
La1 La 0.000 0.000 0.000
Y1 Y 0.000 0.000 0.286
Cr1 Cr 0.000 0.000 0.651
```

***

# 9
Entry from Alexandria: crystalline La2YCr at its relaxed geometry (PBE-GGA).

## Properties
The calculation puts the density at 5.5 g cm⁻³. The calculation puts the energy above the lowest structure with this stoichiometry at 232 meV per atom. The calculation puts the total moment at 12.519 μB/cell. Its total energy is -6.01 eV per atom. The value obtained for the formation enthalpy at 0 K is 0.48 eV/atom.

The structure in CIF format:
```
data_La2YCr
_cell_length_a 8.780
_cell_length_b 8.780
_cell_length_c 6.521
_cell_angle_alpha 90.00
_cell_angle_beta 90.00
_cell_angle_gamma 90.00
_symmetry_space_group_name_H-M 'I -4 2 d'
_symmetry_Int_Tables_number 122
_symmetry_space_group_name_Hall 'I -4 2bw'
loop_
_atom_site_label
_atom_site_type_symbol
_atom_site_fract_x
_atom_site_fract_y
_atom_site_fract_z
La1 La 0.197 0.250 0.125
Y1 Y 0.000 0.000 0.500
Cr1 Cr 0.000 0.000 0.000
```

***

# 10
Entry from Alexandria: crystalline LaYCr2 at its relaxed geometry (PBE-GGA).

## Properties
The calculation puts the density at 5.5 g cm⁻³. The calculation puts the energy above the lowest structure with this stoichiometry at 368 meV per atom. The calculation puts the total moment at 21.415 μB/cell. Its total energy is -6.94 eV per atom. The value obtained for the formation enthalpy at 0 K is 0.72 eV/atom.

The structure in CIF format:
```
data_LaYCr2
_cell_length_a 3.5090
_cell_length_b 3.5090
_cell_length_c 28.2638
_cell_angle_alpha 90.00
_cell_angle_beta 90.00
_cell_angle_gamma 120.00
_symmetry_space_group_name_H-M 'R -3 m'
_symmetry_Int_Tables_number 166
_symmetry_space_group_name_Hall '-R 3 2"'
loop_
_atom_site_label
_atom_site_type_symbol
_atom_site_fract_x
_atom_site_fract_y
_atom_site_fract_z
La1 La 0.0000 0.0000 0.0000
Y1 Y 0.0000 0.0000 0.5000
Cr1 Cr 0.0000 0.0000 0.2488
```

***

# 11
Entry from Alexandria: crystalline La2YCr at its relaxed geometry (PBE-GGA).

## Properties
The calculation puts the density at 5.8 g cm⁻³. The calculation puts the energy above the lowest structure with this stoichiometry at 11 meV per atom. The calculation puts the total moment at 6.273 μB/cell. Its total energy is -6.23 eV per atom. The value obtained for the formation enthalpy at 0 K is 0.26 eV/atom.

The structure in CIF format:
```
data_La2YCr
_cell_length_a 3.777
_cell_length_b 5.535
_cell_length_c 11.476
_cell_angle_alpha 90.00
_cell_angle_beta 90.00
_cell_angle_gamma 90.00
_symmetry_space_group_name_H-M 'I m m m'
_symmetry_Int_Tables_number 71
_symmetry_space_group_name_Hall '-I 2 2'
loop_
_atom_site_label
_atom_site_type_symbol
_atom_site_fract_x
_atom_site_fract_y
_atom_site_fract_z
La1 La 0.000 0.000 0.210
Y1 Y 0.000 0.500 0.000
Cr1 Cr 0.000 0.500 0.500
```

***

# 12
Entry from Alexandria: crystalline LaY2Cr at its relaxed geometry (PBE-GGA).

## Properties
The calculation puts the density at 5.2 g cm⁻³. The calculation puts the energy above the lowest structure with this stoichiometry at 0 meV per atom. The calculation puts the total moment at 3.364 μB/cell. Its total energy is -6.65 eV per atom. The value obtained for the formation enthalpy at 0 K is 0.22 eV/atom.

The structure in CIF format:
```
data_LaY2Cr
_cell_length_a 3.611
_cell_length_b 3.611
_cell_length_c 8.957
_cell_angle_alpha 90.00
_cell_angle_beta 90.00
_cell_angle_gamma 90.00
_symmetry_space_group_name_H-M 'P 4/m m m'
_symmetry_Int_Tables_number 123
_symmetry_space_group_name_Hall '-P 4 2'
loop_
_atom_site_label
_atom_site_type_symbol
_atom_site_fract_x
_atom_site_fract_y
_atom_site_fract_z
La1 La 0.000 0.000 0.000
Y1 Y 0.500 0.500 0.307
Cr1 Cr 0.000 0.000 0.500
```

***

# 13
Entry from Alexandria: crystalline LaYCr2 at its relaxed geometry (PBE-GGA).

## Properties
The calculation puts the density at 6.5 g cm⁻³. The calculation puts the energy above the lowest structure with this stoichiometry at 872 meV per atom. The calculation puts the total moment at 0.000 μB/cell. Its total energy is -6.43 eV per atom. The value obtained for the formation enthalpy at 0 K is 1.23 eV/atom.

The structure in CIF format:
```
data_LaYCr2
_cell_length_a 7.464
_cell_length_b 7.464
_cell_length_c 6.069
_cell_angle_alpha 90.00
_cell_angle_beta 90.00
_cell_angle_gamma 90.00
_symmetry_space_group_name_H-M 'I -4 2 d'
_symmetry_Int_Tables_number 122
_symmetry_space_group_name_Hall 'I -4 2bw'
loop_
_atom_site_label
_atom_site_type_symbol
_atom_site_fract_x
_atom_site_fract_y
_atom_site_fract_z
La1 La 0.000 0.000 0.000
Y1 Y 0.000 0.000 0.500
Cr1 Cr 0.235 0.750 0.125
```

***

# 14
Entry from Alexandria: crystalline La2YCr at its relaxed geometry (PBE-GGA).

## Properties
The calculation puts the density at 5.8 g cm⁻³. The calculation puts the energy above the lowest structure with this stoichiometry at 194 meV per atom. The calculation puts the total moment at 7.774 μB/cell. Its total energy is -6.05 eV per atom. The value obtained for the formation enthalpy at 0 K is 0.44 eV/atom.

The structure in CIF format:
```
data_La2YCr
_cell_length_a 6.615
_cell_length_b 11.427
_cell_length_c 3.510
_cell_angle_alpha 90.00
_cell_angle_beta 114.59
_cell_angle_gamma 90.00
_symmetry_space_group_name_H-M 'C 1 2/m 1'
_symmetry_Int_Tables_number 12
loop_
_symmetry_equiv_pos_as_xyz
'x,y,z'
'-x,-y,-z'
'-x,y,-z'
'x,-y,z'
'x+1/2,y+1/2,z'
'-x+1/2,-y+1/2,-z'
'-x+1/2,y+1/2,-z'
'x+1/2,-y+1/2,z'
loop_
_atom_site_label
_atom_site_type_symbol
_atom_site_fract_x
_atom_site_fract_y
_atom_site_fract_z
La1 La 0.250 0.250 0.000
Y1 Y 0.000 0.000 0.500
Cr1 Cr 0.000 0.500 0.500
```

***

# 15
Entry from Alexandria: crystalline La2YCr at its relaxed geometry (PBE-GGA).

## Properties
The calculation puts the density at 5.7 g cm⁻³. The calculation puts the energy above the lowest structure with this stoichiometry at 13 meV per atom. The calculation puts the total moment at 6.458 μB/cell. Its total energy is -6.23 eV per atom. The value obtained for the formation enthalpy at 0 K is 0.26 eV/atom.

The structure in CIF format:
```
data_La2YCr
_cell_length_a 3.819
_cell_length_b 5.618
_cell_length_c 11.403
_cell_angle_alpha 90.00
_cell_angle_beta 90.00
_cell_angle_gamma 90.00
_symmetry_space_group_name_H-M 'I m m 2'
_symmetry_Int_Tables_number 44
loop_
_symmetry_equiv_pos_as_xyz
'x,y,z'
'-x,-y,z'
'-x,y,z'
'x,-y,z'
'x+1/2,y+1/2,z+1/2'
'-x+1/2,-y+1/2,z+1/2'
'-x+1/2,y+1/2,z+1/2'
'x+1/2,-y+1/2,z+1/2'
loop_
_atom_site_label
_atom_site_type_symbol
_atom_site_fract_x
_atom_site_fract_y
_atom_site_fract_z
La1 La 0.000 0.000 0.000
La2 La 0.000 0.500 0.213
Y1 Y 0.000 0.500 0.788
Cr1 Cr 0.000 0.000 0.496
```